A relaxed structure of Nb4VH10, computed with PBE.

The structure belongs to space group I4/m (No. 87); the cell edges are 7.106, 7.106 and 4.501 Å and the angles 90.00°, 90.00° and 90.00°. The distinct sites, in fractional coordinates, are Nb at (0.103, 0.298, 0.000), V at (0.000, 0.000, 0.500), H at (0.000, 0.500, 0.250) and H at (0.094, 0.809, 0.260).

Its total energy is -5.77 eV per atom. The calculation puts the density of states at the Fermi level at 0.27 states/eV per atom. The total moment comes out at 0.00 μB per formula unit.

A relaxed structure of Nb3VH6, computed with PBE.

The structure belongs to space group R-3 (No. 148, hexagonal axes); the cell edges are 7.8469, 7.8469 and 9.5960 Å and the angles 90.00°, 90.00° and 120.00°. The distinct sites, in fractional coordinates, are Nb at (0.0025, 0.7537, 0.2479), V at (0.0000, 0.0000, 0.0000), V at (0.0000, 0.0000, 0.5000), H at (0.0025, 0.8495, 0.8613) and H at (0.0444, 0.8067, 0.4441).

Its total energy is -6.12 eV per atom. The calculation puts the density of states at the Fermi level at 0.50 states/eV per atom. The total moment comes out at 0.00 μB per formula unit.

A relaxed structure of NbV2H, computed with PBE.

The structure belongs to space group P4/mmm (No. 123); the cell edges are 2.617, 2.617 and 7.122 Å and the angles 90.00°, 90.00° and 90.00°. The distinct sites, in fractional coordinates, are Nb at (0.000, 0.000, 0.000), V at (0.500, 0.500, 0.327) and H at (0.000, 0.000, 0.500).

The calculation puts the density of states at the Fermi level at 0.87 states/eV per atom. The calculation puts the polymorph energy (0 for the lowest one) at 0.3465 eV per atom. The total moment comes out at 0.00 μB per formula unit.